(1)
The following is a PBE calculation of an optimized crystal structure of Sc2GeHPd, from Alexandria.

Calculated values
The total moment comes out at 0.4 μB per cell. The calculation puts the mass density at 5.931 Mg/m³.

The structure in CIF format:
```
data_Sc2GeHPd
_cell_length_a 4.452
_cell_length_b 4.452
_cell_length_c 3.814
_cell_angle_alpha 90.00
_cell_angle_beta 90.00
_cell_angle_gamma 90.00
_symmetry_space_group_name_H-M 'P 4/m m m'
_symmetry_Int_Tables_number 123
_symmetry_space_group_name_Hall '-P 4 2'
loop_
_atom_site_label
_atom_site_type_symbol
_atom_site_fract_x
_atom_site_fract_y
_atom_site_fract_z
Sc1 Sc 0.000 0.500 0.000
Ge1 Ge 0.000 0.000 0.500
H1 H 0.500 0.500 0.000
Pd1 Pd 0.500 0.500 0.500
```

(2)
The following is a PBE calculation of an optimized crystal structure of Ti2GaTe2, from Alexandria.

Calculated values
The total moment comes out at 0.0 μB per cell. The formation energy without anion corrections is -0.376 eV/atom. The calculation puts the mass density at 6.746 Mg/m³. Its energy relative to the lowest polymorph listed for this composition is 0.0 meV per atom.

The structure in CIF format:
```
data_Ti2GaTe2
_cell_length_a 7.477
_cell_length_b 7.477
_cell_length_c 3.704
_cell_angle_alpha 90.00
_cell_angle_beta 90.00
_cell_angle_gamma 90.00
_symmetry_space_group_name_H-M 'P 4/m b m'
_symmetry_Int_Tables_number 127
_symmetry_space_group_name_Hall '-P 4 2ab'
loop_
_atom_site_label
_atom_site_type_symbol
_atom_site_fract_x
_atom_site_fract_y
_atom_site_fract_z
Ti1 Ti 0.141 0.359 0.000
Ga1 Ga 0.000 0.000 0.000
Te1 Te 0.154 0.654 0.500
```

(3)
The following is a PBE calculation of an optimized crystal structure of SiHgW, from Alexandria.

Calculated values
The total moment comes out at 0.0 μB per cell. The formation energy without anion corrections is 0.593 eV/atom. The calculation puts the mass density at 13.093 Mg/m³. Its energy relative to the lowest polymorph listed for this composition is 89.0 meV per atom.

The structure in CIF format:
```
data_SiHgW
_cell_length_a 3.0063
_cell_length_b 3.0063
_cell_length_c 6.6845
_cell_angle_alpha 90.00
_cell_angle_beta 90.00
_cell_angle_gamma 120.00
_symmetry_space_group_name_H-M 'P 3 m 1'
_symmetry_Int_Tables_number 156
loop_
_symmetry_equiv_pos_as_xyz
'x,y,z'
'-y,x-y,z'
'-x+y,-x,z'
'-y,-x,z'
'-x+y,y,z'
'x,x-y,z'
loop_
_atom_site_label
_atom_site_type_symbol
_atom_site_fract_x
_atom_site_fract_y
_atom_site_fract_z
Si1 Si 0.0000 0.0000 0.0000
Hg1 Hg 0.3333 0.6667 0.6472
W1 W 0.6667 0.3333 0.2823
```

(4)
The following is a PBE calculation of an optimized crystal structure of Na2SiB2Rh5, from Alexandria.

Calculated values
The total moment comes out at 0.0 μB per cell. The formation energy without anion corrections is -0.372 eV/atom. The calculation puts the mass density at 7.832 Mg/m³.

The structure in CIF format:
```
data_Na2SiB2Rh5
_cell_length_a 9.504
_cell_length_b 9.504
_cell_length_c 2.865
_cell_angle_alpha 90.00
_cell_angle_beta 90.00
_cell_angle_gamma 90.00
_symmetry_space_group_name_H-M 'P 4/m b m'
_symmetry_Int_Tables_number 127
_symmetry_space_group_name_Hall '-P 4 2ab'
loop_
_atom_site_label
_atom_site_type_symbol
_atom_site_fract_x
_atom_site_fract_y
_atom_site_fract_z
Na1 Na 0.176 0.324 0.000
Si1 Si 0.000 0.000 0.000
B1 B 0.126 0.626 0.000
Rh1 Rh 0.000 0.500 0.500
Rh2 Rh 0.067 0.789 0.500
```

(5)
The following is a PBE calculation of an optimized crystal structure of RbTiBiSe4, from Alexandria.

Calculated values
The total moment comes out at 0.0 μB per cell. The formation energy without anion corrections is -0.874 eV/atom. The calculation puts the mass density at 4.748 Mg/m³.

The structure in CIF format:
```
data_RbTiBiSe4
_cell_length_a 6.922
_cell_length_b 7.358
_cell_length_c 9.529
_cell_angle_alpha 90.00
_cell_angle_beta 108.44
_cell_angle_gamma 90.00
_symmetry_space_group_name_H-M 'P 1 21/m 1'
_symmetry_Int_Tables_number 11
loop_
_symmetry_equiv_pos_as_xyz
'x,y,z'
'-x,-y,-z'
'-x,y+1/2,-z'
'x,-y+1/2,z'
loop_
_atom_site_label
_atom_site_type_symbol
_atom_site_fract_x
_atom_site_fract_y
_atom_site_fract_z
Rb1 Rb 0.239 0.250 0.437
Ti1 Ti 0.277 0.750 0.171
Bi1 Bi 0.268 0.250 0.933
Se1 Se 0.056 0.750 0.926
Se2 Se 0.076 0.750 0.336
Se3 Se 0.487 0.502 0.793
```

(6)
The following is a PBE calculation of an optimized crystal structure of AlPPb2, from Alexandria.

Calculated values
The total moment comes out at 0.0 μB per cell. The calculation puts the mass density at 7.791 Mg/m³. The calculated formation energy comes out at 155 meV per atom. Its energy relative to the lowest polymorph listed for this composition is 159.9 meV per atom.

The structure in CIF format:
```
data_AlPPb2
_cell_length_a 3.816
_cell_length_b 5.766
_cell_length_c 9.150
_cell_angle_alpha 90.00
_cell_angle_beta 90.00
_cell_angle_gamma 90.00
_symmetry_space_group_name_H-M 'C m m 2'
_symmetry_Int_Tables_number 35
loop_
_symmetry_equiv_pos_as_xyz
'x,y,z'
'-x,-y,z'
'-x,y,z'
'x,-y,z'
'x+1/2,y+1/2,z'
'-x+1/2,-y+1/2,z'
'-x+1/2,y+1/2,z'
'x+1/2,-y+1/2,z'
loop_
_atom_site_label
_atom_site_type_symbol
_atom_site_fract_x
_atom_site_fract_y
_atom_site_fract_z
Al1 Al 0.000 0.000 0.000
P1 P 0.000 0.500 0.854
Pb1 Pb 0.000 0.000 0.593
Pb2 Pb 0.000 0.500 0.264
```

(7)
The following is a PBE calculation of an optimized crystal structure of Ba3Ga3N5, from Alexandria.

Calculated values
The total moment comes out at 0.0 μB per cell. The formation energy without anion corrections is -0.489 eV/atom. The calculation puts the mass density at 5.780 Mg/m³.

The structure in CIF format:
```
data_Ba3Ga3N5
_cell_length_a 17.004
_cell_length_b 8.416
_cell_length_c 11.791
_cell_angle_alpha 90.00
_cell_angle_beta 109.71
_cell_angle_gamma 90.00
_symmetry_space_group_name_H-M 'C 1 2/c 1'
_symmetry_Int_Tables_number 15
loop_
_symmetry_equiv_pos_as_xyz
'x,y,z'
'-x,-y,-z'
'-x,y,-z+1/2'
'x,-y,z+1/2'
'x+1/2,y+1/2,z'
'-x+1/2,-y+1/2,-z'
'-x+1/2,y+1/2,-z+1/2'
'x+1/2,-y+1/2,z+1/2'
loop_
_atom_site_label
_atom_site_type_symbol
_atom_site_fract_x
_atom_site_fract_y
_atom_site_fract_z
Ba1 Ba 0.000 0.154 0.250
Ba2 Ba 0.000 0.339 0.750
Ba3 Ba 0.189 0.409 0.385
Ba4 Ba 0.206 0.126 0.838
Ga1 Ga 0.079 0.068 0.998
Ga2 Ga 0.079 0.435 0.057
Ga3 Ga 0.098 0.245 0.550
N1 N 0.030 0.398 0.421
N2 N 0.045 0.073 0.618
N3 N 0.137 0.269 0.002
N4 N 0.152 0.103 0.461
N5 N 0.156 0.409 0.674
```

(8)
The following is a PBE calculation of an optimized crystal structure of SmBiIrO6, from Alexandria.

Calculated values
The total moment comes out at 3.4 μB per cell. The formation energy without anion corrections is -1.509 eV/atom. The calculation puts the mass density at 8.248 Mg/m³.

The structure in CIF format:
```
data_SmBiIrO6
_cell_length_a 5.6575
_cell_length_b 5.6575
_cell_length_c 9.4062
_cell_angle_alpha 90.00
_cell_angle_beta 90.00
_cell_angle_gamma 120.00
_symmetry_space_group_name_H-M 'P -3 1 c'
_symmetry_Int_Tables_number 163
_symmetry_space_group_name_Hall '-P 3 2c'
loop_
_atom_site_label
_atom_site_type_symbol
_atom_site_fract_x
_atom_site_fract_y
_atom_site_fract_z
Sm1 Sm 0.3333 0.6667 0.2500
Bi1 Bi 0.0000 0.0000 0.0000
Ir1 Ir 0.3333 0.6667 0.7500
O1 O 0.0468 0.3785 0.6320
```

(9)
The following is a PBE calculation of an optimized crystal structure of CaZrTc, from Alexandria.

Calculated values
The total moment comes out at 0.0 μB per cell. The calculation puts the mass density at 5.301 Mg/m³. The calculated formation energy comes out at 297 meV per atom. Its energy relative to the lowest polymorph listed for this composition is 201.5 meV per atom.

The structure in CIF format:
```
data_CaZrTc
_cell_length_a 3.4111
_cell_length_b 3.4111
_cell_length_c 7.1282
_cell_angle_alpha 90.00
_cell_angle_beta 90.00
_cell_angle_gamma 120.00
_symmetry_space_group_name_H-M 'P 3 m 1'
_symmetry_Int_Tables_number 156
loop_
_symmetry_equiv_pos_as_xyz
'x,y,z'
'-y,x-y,z'
'-x+y,-x,z'
'-y,-x,z'
'-x+y,y,z'
'x,x-y,z'
loop_
_atom_site_label
_atom_site_type_symbol
_atom_site_fract_x
_atom_site_fract_y
_atom_site_fract_z
Ca1 Ca 0.0000 0.0000 0.0000
Zr1 Zr 0.3333 0.6667 0.5639
Tc1 Tc 0.6667 0.3333 0.3233
```

(10)
The following is a PBE calculation of an optimized crystal structure of NaLa2Mn2, from Alexandria.

Calculated values
The total moment comes out at 12.6 μB per cell. The calculation puts the mass density at 4.894 Mg/m³. The calculated formation energy comes out at 571 meV per atom. Its energy relative to the lowest polymorph listed for this composition is 234.2 meV per atom.

The structure in CIF format:
```
data_NaLa2Mn2
_cell_length_a 5.659
_cell_length_b 5.659
_cell_length_c 8.702
_cell_angle_alpha 90.00
_cell_angle_beta 90.00
_cell_angle_gamma 90.00
_symmetry_space_group_name_H-M 'I 4/m m m'
_symmetry_Int_Tables_number 139
_symmetry_space_group_name_Hall '-I 4 2'
loop_
_atom_site_label
_atom_site_type_symbol
_atom_site_fract_x
_atom_site_fract_y
_atom_site_fract_z
Na1 Na 0.000 0.000 0.000
La1 La 0.000 0.500 0.250
Mn1 Mn 0.000 0.000 0.364
```

(11)
The following is a PBE calculation of an optimized crystal structure of LaSnCBr2, from Alexandria.

Calculated values
The total moment comes out at 3.0 μB per cell. The formation energy without anion corrections is 0.724 eV/atom. The calculation puts the mass density at 3.165 Mg/m³.

The structure in CIF format:
```
data_LaSnCBr2
_cell_length_a 5.709
_cell_length_b 5.709
_cell_length_c 6.914
_cell_angle_alpha 90.00
_cell_angle_beta 90.00
_cell_angle_gamma 90.00
_symmetry_space_group_name_H-M 'P 4/m m m'
_symmetry_Int_Tables_number 123
_symmetry_space_group_name_Hall '-P 4 2'
loop_
_atom_site_label
_atom_site_type_symbol
_atom_site_fract_x
_atom_site_fract_y
_atom_site_fract_z
La1 La 0.000 0.000 0.000
Sn1 Sn 0.000 0.000 0.500
C1 C 0.500 0.500 0.500
Br1 Br 0.000 0.500 0.000
```

These records have E_tot values of -29.29; -53.96; -16.90; -123.78; -65.60; -31.90; -494.82; -121.59; -20.02; -53.32; -17.88 eV for the cell shown, in the order they appear.